5
Lattice="4.195 0.000 0.000 0.000 4.195 0.000 0.000 0.000 6.239" Properties=species:S:1:pos:R:3 comment="LaMoSeN2 (GGA-PBE, optimized geometry)" crystal_system=tetragonal rho_g_cm3=5.17 magmom_total_mub_per_fu=3.439 relative_energy_mev_per_atom=1652 space_group="No. 123" dos_ef_per_ev_cell=4.17 pbc="T T T"
La 0.000 0.000 0.000
N 0.000 2.098 0.000
N 2.098 0.000 0.000
Se 0.000 0.000 3.120
Mo 2.098 2.098 3.120